## Mg2TlRhF (PBE-GGA)

Data for a relaxed structure of Mg2TlRhF.

abc: 5.4113 5.4113 4.4681
angles: 90.00 90.00 90.00
With the nearest neighbours (Å) after each atom.
Fractional positions:
Mg 0.0000 0.5000 0.0000  2 Tl 2.71
Mg 0.5000 0.0000 0.0000  2 Tl 2.71
Tl 0.0000 0.0000 0.0000  2 F 2.23
Rh 0.5000 0.5000 0.5000  8 Mg 3.51, 4 F 3.83
F 0.0000 0.0000 0.5000  2 Tl 2.23

Calculated values
ΔE_f (raw) = 0.3492 eV per atom
DOS at the Fermi energy = 0.721 states/eV per atom
electronic total energy = -13.032 eV/cell
space group = P4/mmm (123)